Compound: NbMoRu5
Source: Alexandria
Functional: PBE
Structure: relaxed

```
NbMoRu5
1.0
4.2260 0.0000 0.0000
0.0000 4.2260 0.0000
0.0000 0.0000 6.2394
Nb Mo Ru
1 1 5
direct
0.0000 0.0000 0.0000 Nb
0.5000 0.5000 0.5000 Mo
0.0000 0.5000 0.2755 Ru
0.0000 0.5000 0.7245 Ru
0.5000 0.0000 0.2755 Ru
0.5000 0.0000 0.7245 Ru
0.5000 0.5000 0.0000 Ru
```

Values from the calculation:
DFT formation energy = 1.79 eV per formula unit
size of the total moment = 0.0 μB/f.u.